PaGaCo2O6: optimized geometry, PBE with a Hubbard U.

The space group is R3 (No. 146, hexagonal axes) and the conventional cell measures 5.1569, 5.1569 and 14.5718 Å, with angles of 90.00, 90.00 and 120.00 degrees. The asymmetric unit holds Pa at (0.0000, 0.0000, 0.0000), Ga at (0.0000, 0.0000, 0.4919), Co at (0.0000, 0.0000, 0.2924), Co at (0.0000, 0.0000, 0.8042), O at (0.0084, 0.6277, 0.0678) and O at (0.0367, 0.3565, 0.5544).

The calculation puts the raw total energy at -7.186 eV per atom.